1.
This record from the Alexandria database describes a relaxed YCr2W crystal. The functional is PBE.

Computed properties:
DFT total energy in eV per cell: -36.4
Total magnetization in μB/f.u.: 2.6
Fermi-level density of states in states/eV/f.u.: 2.94
Energy relative to the elements in eV per atom: 0.57
E above lowest polymorph in meV per atom: 190

Cell and atoms, written as extended XYZ:
```
4
Lattice="4.565 0.000 0.000 0.000 4.565 0.000 0.000 0.000 3.174" Properties=species:S:1:pos:R:3 pbc="T T T"
Y 0.000 2.283 1.587
Cr 0.000 0.000 0.000
Cr 2.283 2.283 0.000
W 2.283 0.000 1.587
```

---

2.
This record from the Alexandria database describes a relaxed PmMgO2 crystal. The functional is PBE.

Computed properties:
Raw formation energy in eV per atom: -2.547
DFT total energy in eV per cell: -26.5
Total magnetization in μB/f.u.: 0.0
Fermi-level density of states in states/eV/f.u.: 1.45

Cell and atoms, written as extended XYZ:
```
4
Lattice="-2.013 2.415 0.701 -2.719 0.372 -1.686 -4.304 -2.406 3.332" Properties=species:S:1:pos:R:3 pbc="T T T"
Pm -4.518 0.191 1.173
O -2.138 0.243 0.425
O -6.897 0.139 1.922
Mg 0.000 0.000 0.000
```

---

3.
This record from the Alexandria database describes a relaxed PuInHg crystal. The functional is PBE.

Computed properties:
DFT total energy in eV per cell: -67.4
Total magnetization in μB/f.u.: 1.8
Fermi-level density of states in states/eV/f.u.: 4.00
Energy relative to the elements in eV per atom: 0.18
E above lowest polymorph in meV per atom: 361

Cell and atoms, written as extended XYZ:
```
12
Lattice="5.827 0.000 0.000 0.000 4.528 -0.174 0.000 -1.019 10.822" Properties=species:S:1:pos:R:3 pbc="T T T"
In 0.285 2.846 4.217
In 5.542 0.663 6.431
In 2.629 0.582 4.304
In 3.198 2.927 6.343
Pu 0.979 2.688 0.405
Pu 4.849 0.821 10.242
Pu 1.935 0.424 0.493
Pu 3.892 3.085 10.155
Hg 3.393 2.770 2.314
Hg 0.479 3.003 8.246
Hg 2.435 0.739 8.333
Hg 5.348 0.506 2.401
```

---

4.
This record from the Alexandria database describes a relaxed RbCd2AgAu crystal. The functional is PBE.

Computed properties:
DFT total energy in eV per cell: -9.2
Total magnetization in μB/f.u.: 0.0
Fermi-level density of states in states/eV/f.u.: 1.10
Energy relative to the elements in eV per atom: -0.05
E above lowest polymorph in meV per atom: 0

Cell and atoms, written as extended XYZ:
```
5
Lattice="-1.792 -4.969 0.959 2.730 -1.806 -4.255 4.362 -0.955 3.204" Properties=species:S:1:pos:R:3 pbc="T T T"
Cd 1.365 -0.903 -2.128
Cd -0.896 -2.484 0.480
Ag 2.181 -0.477 1.602
Rb 2.650 -3.864 -0.046
Au 0.000 0.000 0.000
```

---

5.
This record from the Alexandria database describes a relaxed SrLi2W crystal. The functional is PBE.

Computed properties:
DFT total energy in eV per cell: -15.6
Total magnetization in μB/f.u.: 0.0
Fermi-level density of states in states/eV/f.u.: 2.58
Energy relative to the elements in eV per atom: 0.73
E above lowest polymorph in meV per atom: 0

Cell and atoms, written as extended XYZ:
```
4
Lattice="2.945 0.008 0.000 -0.011 2.945 0.000 0.000 0.000 9.617" Properties=species:S:1:pos:R:3 pbc="T T T"
Sr 0.000 0.000 5.000
W 1.467 1.476 7.562
Li 0.000 0.000 9.499
Li 1.467 1.476 1.981
```

---

6.
This record from the Alexandria database describes a relaxed NaGeSbO5 crystal. The functional is PBE.

Computed properties:
Raw formation energy in eV per atom: -1.645
DFT total energy in eV per cell: -96.0
Total magnetization in μB/f.u.: 0.0
Fermi-level density of states in states/eV/f.u.: 0.00
E above lowest polymorph in meV per atom: 0

Cell and atoms, written as extended XYZ:
```
16
Lattice="-1.788 -5.367 0.346 5.574 -0.322 -0.974 2.872 -2.551 6.266" Properties=species:S:1:pos:R:3 pbc="T T T"
Sb 1.436 -1.276 3.133
Sb 0.000 0.000 0.000
O 3.824 -5.730 3.281
O 5.598 -2.947 1.634
O 2.834 -2.510 2.357
O -0.483 -5.603 1.807
O 7.141 -2.637 3.831
O 4.000 -1.019 0.086
O 3.309 -3.824 -0.016
O 1.060 -5.294 4.004
O 2.658 -7.221 5.552
O 3.349 -4.416 5.654
Na 1.383 -4.324 1.473
Na 5.275 -3.917 4.165
Ge 2.673 -5.699 4.632
Ge 3.985 -2.541 1.006
```

---

7.
This record from the Alexandria database describes a relaxed LiTa3Nb crystal. The functional is PBE.

Computed properties:
DFT total energy in eV per cell: -39.4
Total magnetization in μB/f.u.: 0.0
Fermi-level density of states in states/eV/f.u.: 9.12
Energy relative to the elements in eV per atom: 1.62
E above lowest polymorph in meV per atom: 538

Cell and atoms, written as extended XYZ:
```
5
Lattice="-4.220 0.477 2.488 -1.063 -4.722 -0.897 2.299 -1.307 4.152" Properties=species:S:1:pos:R:3 pbc="T T T"
Ta -2.110 0.239 1.244
Ta -0.532 -2.361 -0.449
Ta 1.150 -0.653 2.076
Nb 0.000 0.000 0.000
Li -1.492 -2.775 2.871
```

---

8.
This record from the Alexandria database describes a relaxed SmScNiHg crystal. The functional is PBE.

Computed properties:
DFT total energy in eV per cell: -18.3
Total magnetization in μB/f.u.: 0.0
Fermi-level density of states in states/eV/f.u.: 3.43
Energy relative to the elements in eV per atom: -0.30

Cell and atoms, written as extended XYZ:
```
4
Lattice="-1.790 4.316 -1.708 -4.848 1.027 0.430 -1.529 3.496 3.192" Properties=species:S:1:pos:R:3 pbc="T T T"
Ni 0.000 0.000 0.000
Hg -4.083 4.419 0.957
Sm -6.125 6.629 1.435
Sc -2.042 2.210 0.478
```

---

9.
This record from the Alexandria database describes a relaxed Fe2PbBrN crystal. The functional is PBE.

Computed properties:
Raw formation energy in eV per atom: 1.591
DFT total energy in eV per cell: -22.7
Total magnetization in μB/f.u.: 5.3
Fermi-level density of states in states/eV/f.u.: 6.29

Cell and atoms, written as extended XYZ:
```
5
Lattice="-0.248 0.976 4.376 -1.625 -3.852 0.767 4.142 -1.628 0.598" Properties=species:S:1:pos:R:3 pbc="T T T"
Fe 2.071 -0.814 0.299
Fe -0.124 0.488 2.188
N -0.812 -1.926 0.384
Br 0.000 0.000 0.000
Pb 1.134 -2.252 2.871
```

---

10.
This record from the Alexandria database describes a relaxed SrHgRu2 crystal. The functional is PBE.

Computed properties:
DFT total energy in eV per cell: -19.7
Total magnetization in μB/f.u.: 0.0
Fermi-level density of states in states/eV/f.u.: 3.44
Energy relative to the elements in eV per atom: 0.20

Cell and atoms, written as extended XYZ:
```
4
Lattice="-0.586 1.167 -4.226 2.571 -1.741 -3.151 -2.965 -4.370 -3.114" Properties=species:S:1:pos:R:3 pbc="T T T"
Ru 0.384 -0.511 -2.508
Ru 1.721 -0.878 -7.425
Sr -0.413 -2.383 -5.231
Hg -1.177 -4.218 -7.948
```

---

11.
This record from the Alexandria database describes a relaxed LiV2Os crystal. The functional is PBE.

Computed properties:
DFT total energy in eV per cell: -58.4
Total magnetization in μB/f.u.: 0.0
Fermi-level density of states in states/eV/f.u.: 4.08
Energy relative to the elements in eV per atom: 0.54

Cell and atoms, written as extended XYZ:
```
8
Lattice="6.788 0.000 0.000 0.000 6.788 0.000 3.394 3.394 2.570" Properties=species:S:1:pos:R:3 pbc="T T T"
Os 6.788 3.394 1.285
Os 0.000 0.000 0.000
V 1.549 5.091 0.642
V 8.485 8.632 1.927
V 5.238 1.697 0.642
V 5.091 4.943 1.927
Li 3.394 6.788 1.285
Li 3.394 3.394 0.000
```

---

12.
This record from the Alexandria database describes a relaxed FeNi3Pd6 crystal. The functional is PBE.

Computed properties:
DFT total energy in eV per cell: -113.9
Total magnetization in μB/f.u.: 7.3
Fermi-level density of states in states/eV/f.u.: 13.65
Energy relative to the elements in eV per atom: 0.00
E above lowest polymorph in meV per atom: 0

Cell and atoms, written as extended XYZ:
```
20
Lattice="3.860 0.000 0.000 0.000 8.396 -0.232 0.000 -0.023 8.593" Properties=species:S:1:pos:R:3 pbc="T T T"
Pd 0.965 2.112 4.304
Pd 0.965 0.453 7.719
Pd 0.965 3.825 0.757
Pd 2.895 3.029 2.561
Pd 2.895 6.261 4.057
Pd 0.965 5.343 5.801
Pd 2.895 7.919 0.643
Pd 0.965 7.105 2.397
Pd 2.895 7.093 6.641
Pd 2.895 1.268 5.964
Pd 0.965 1.280 1.720
Pd 2.895 4.547 7.604
Ni 0.965 4.609 3.282
Ni 2.895 5.455 1.524
Ni 2.895 2.107 8.529
Ni 2.895 3.763 5.079
Ni 0.965 6.265 -0.168
Ni 0.965 2.917 6.837
Fe 2.895 0.443 3.393
Fe 0.965 7.929 4.968
```